# 1
! VPRu2Se PBE relaxed; values from VASP
! Volume ... 93 Å³/cell
! Space-group type ... P4/mmm (123)
! Total energy ... -30.8 eV/cell
! Formation energy (no corrections) ... 1158 meV/atom
&SYSTEM
  ibrav = 0, nat = 5, ntyp = 4
/
ATOMIC_SPECIES
V 50.94 V.upf
P 30.97 P.upf
Ru 101.07 Ru.upf
Se 78.96 Se.upf
CELL_PARAMETERS angstrom
4.508 0.000 0.000
0.000 4.508 0.000
0.000 0.000 4.553
ATOMIC_POSITIONS angstrom
V 0.000 0.000 0.000
P 2.254 2.254 2.277
Ru 0.000 2.254 0.000
Ru 2.254 0.000 0.000
Se 0.000 0.000 2.277


# 2
! Ca3CoAu PBE relaxed; values from VASP
! Volume ... 141 Å³/cell
! Space-group type ... Pm-3m (221)
! Calculated formation energy ... 51 meV per atom
! Total energy ... -16.1 eV/cell
&SYSTEM
  ibrav = 0, nat = 5, ntyp = 3
/
ATOMIC_SPECIES
Ca 40.08 Ca.upf
Co 58.93 Co.upf
Au 196.97 Au.upf
CELL_PARAMETERS angstrom
5.202 0.000 0.000
0.000 5.202 0.000
0.000 0.000 5.202
ATOMIC_POSITIONS angstrom
Ca 0.000 0.000 2.601
Ca 0.000 2.601 0.000
Ca 2.601 0.000 0.000
Co 0.000 0.000 0.000
Au 2.601 2.601 2.601


# 3
! LiGa2H8 PBE relaxed; values from VASP
! Volume ... 234 Å³/cell
! Space-group type ... C2/c (15)
! Total energy ... -66.2 eV/cell
&SYSTEM
  ibrav = 0, nat = 22, ntyp = 3
/
ATOMIC_SPECIES
Li 6.94 Li.upf
Ga 69.72 Ga.upf
H 1.01 H.upf
CELL_PARAMETERS angstrom
5.046 -3.607 0.000
5.046 3.607 0.000
-2.764 0.000 6.418
ATOMIC_POSITIONS angstrom
Li 2.973 1.809 4.814
Li 4.355 -1.809 1.605
Ga 1.851 0.058 2.489
Ga 0.469 -0.058 5.698
Ga 6.860 0.058 0.721
Ga 5.478 -0.058 3.930
H 0.402 0.137 1.874
H -0.980 -0.137 5.083
H 1.171 1.353 5.894
H 2.575 1.417 2.893
H 2.784 0.160 0.978
H 1.402 -0.160 4.187
H 6.136 1.417 0.316
H 4.776 1.353 3.734
H 2.553 -1.353 2.685
H 1.193 -1.417 6.102
H 5.927 0.160 2.231
H 4.545 -0.160 5.440
H 4.754 -1.417 3.525
H 6.158 -1.353 0.525
H 8.308 0.137 1.335
H 6.926 -0.137 4.545


# 4
! ScHgI3 PBE relaxed; values from VASP
! Volume ... 472 Å³/cell
! Space-group type ... P1 (1)
! Total energy ... -31.4 eV/cell
! Formation energy (no corrections) ... -887 meV/atom
&SYSTEM
  ibrav = 0, nat = 10, ntyp = 3
/
ATOMIC_SPECIES
Sc 44.96 Sc.upf
Hg 200.59 Hg.upf
I 126.90 I.upf
CELL_PARAMETERS angstrom
7.159 0.000 0.000
-2.025 7.502 0.000
-2.314 -0.920 8.781
ATOMIC_POSITIONS angstrom
Sc 0.000 0.000 0.000
Sc -0.847 4.527 7.474
Hg 1.396 1.070 4.565
Hg 2.501 -0.175 6.999
I -3.148 5.752 6.227
I -1.733 1.857 7.620
I 0.398 6.678 1.181
I 0.301 4.381 4.997
I 3.855 4.932 0.252
I 6.028 1.180 2.169